Compound: La2MnAlO6
Source: Alexandria via LeMat-Bulk
Functional: GGA+U
Structure: relaxed

V = 116.7 Å³/cell
Density = 6482 kg/m³
Total DFT energy (no corrections) = -79.7 eV for the cell shown
Density of states at the Fermi level = 1.08 states/eV/f.u.

Unit cell a=3.8815 b=3.8815 c=7.7489 alpha=90.00 beta=90.00 gamma=90.00
Fractional coordinates of all 10 atoms:
La 0.0000 0.0000 0.2465
La 0.0000 0.0000 0.7535
Mn 0.5000 0.5000 0.5000
Al 0.5000 0.5000 0.0000
O 0.0000 0.5000 0.0000
O 0.0000 0.5000 0.5000
O 0.5000 0.0000 0.0000
O 0.5000 0.0000 0.5000
O 0.5000 0.5000 0.2404
O 0.5000 0.5000 0.7596